No. 1
# VAuI2 (PBE, optimized geometry)
# **M_tot**: 11.35 Bohr magnetons per cell
data_VAuI2
_chemical_formula_sum 'V4 Au4 I8'
_cell_length_a 7.3615
_cell_length_b 7.3615
_cell_length_c 7.3615
_cell_angle_alpha 90.00
_cell_angle_beta 90.00
_cell_angle_gamma 90.00
_space_group_name_H-M_alt 'F m -3 m'
_space_group_IT_number 225
_space_group_name_Hall '-F 4 2 3'
loop_
_atom_site_label
_atom_site_fract_x
_atom_site_fract_y
_atom_site_fract_z
V1 0.0000 0.0000 0.0000
Au1 0.0000 0.0000 0.5000
I1 0.2500 0.2500 0.2500

=====

No. 2
# YVAuI2 (PBE, optimized geometry)
# **M_tot**: 4.91 Bohr magnetons per cell
data_YVAuI2
_chemical_formula_sum 'Y1 V1 Au1 I2'
_cell_length_a 5.9518
_cell_length_b 5.9518
_cell_length_c 5.6006
_cell_angle_alpha 90.00
_cell_angle_beta 90.00
_cell_angle_gamma 90.00
_space_group_name_H-M_alt 'P 4/m m m'
_space_group_IT_number 123
_space_group_name_Hall '-P 4 2'
loop_
_atom_site_label
_atom_site_fract_x
_atom_site_fract_y
_atom_site_fract_z
Y1 0.0000 0.0000 0.0000
V1 0.5000 0.5000 0.5000
Au1 0.0000 0.0000 0.5000
I1 0.0000 0.5000 0.0000

=====

No. 3
# W3AuI (PBE, optimized geometry)
# **M_tot**: 0.00 Bohr magnetons per cell
data_W3AuI
_chemical_formula_sum 'W3 Au1 I1'
_cell_length_a 4.8393
_cell_length_b 4.8393
_cell_length_c 4.8393
_cell_angle_alpha 90.00
_cell_angle_beta 90.00
_cell_angle_gamma 90.00
_space_group_name_H-M_alt 'P m -3 m'
_space_group_IT_number 221
_space_group_name_Hall '-P 4 2 3'
loop_
_atom_site_label
_atom_site_fract_x
_atom_site_fract_y
_atom_site_fract_z
W1 0.0000 0.0000 0.5000
Au1 0.5000 0.5000 0.5000
I1 0.0000 0.0000 0.0000

=====

No. 4
# WAuI3 (PBE, optimized geometry)
# **M_tot**: 1.28 Bohr magnetons per cell
data_WAuI3
_chemical_formula_sum 'W1 Au1 I3'
_cell_length_a 5.4531
_cell_length_b 5.4531
_cell_length_c 5.4531
_cell_angle_alpha 90.00
_cell_angle_beta 90.00
_cell_angle_gamma 90.00
_space_group_name_H-M_alt 'P m -3 m'
_space_group_IT_number 221
_space_group_name_Hall '-P 4 2 3'
loop_
_atom_site_label
_atom_site_fract_x
_atom_site_fract_y
_atom_site_fract_z
W1 0.0000 0.0000 0.0000
Au1 0.5000 0.5000 0.5000
I1 0.0000 0.0000 0.5000

=====

In the order shown, the computed final energy values come out to -3.365 -4.077 -5.958 -3.319 eV per atom.
In the order shown, the computed energy relative to the elements, uncorrected values come out to 0.509 0.315 2.780 0.857 eV/atom.